1.
Compound: PmTh3H8
Source: Alexandria via LeMat-Bulk
Functional: PBE-GGA
Structure: optimized geometry

* electronic total energy: -5.04 eV per atom

Lattice parameters (Å, degrees): 5.4462 5.4462 5.4462 90.00 90.00 90.00
Fractional coordinates of all 12 atoms:
H 0.2496 0.7504 0.2496
H 0.2496 0.2496 0.2496
H 0.7504 0.7504 0.2496
H 0.7504 0.7504 0.7504
H 0.7504 0.2496 0.7504
H 0.2496 0.2496 0.7504
H 0.2496 0.7504 0.7504
H 0.7504 0.2496 0.2496
Pm 0.0000 0.0000 0.0000
Th 0.0000 0.5000 0.5000
Th 0.5000 0.0000 0.5000
Th 0.5000 0.5000 0.0000


2.
Compound: RbLiCdHg2
Source: Alexandria via LeMat-Bulk
Functional: PBE-GGA
Structure: optimized geometry

* ΔH_f (0 K): -0.288 eV/f.u.
* polymorph energy (0 for the lowest one): 67 meV/atom

Lattice parameters (Å, degrees): 5.7666 5.7666 5.3651 90.00 90.00 90.00
Fractional coordinates of all 5 atoms:
Rb 0.5000 0.5000 0.5000
Li 0.0000 0.0000 0.5000
Hg 0.5000 0.0000 0.0000
Hg 0.0000 0.5000 0.0000
Cd 0.0000 0.0000 0.0000